# CaZn6Ni2

CaZn6Ni2 after structural relaxation (PBE, the Alexandria database).

Cell and atoms, written as POSCAR:
```
CaZn6Ni2
1.0
-2.447 -6.608 4.058
4.978 -6.385 0.752
3.272 -1.775 7.230
Ca Zn Ni
2 12 4
Direct
0.500 0.500 0.500
0.750 0.750 0.750
0.224 0.224 0.776
0.776 0.776 0.224
0.224 0.776 0.224
0.224 0.776 0.776
0.474 0.474 0.026
0.474 0.026 0.026
0.776 0.224 0.776
0.026 0.026 0.474
0.474 0.026 0.474
0.026 0.474 0.474
0.776 0.224 0.224
0.026 0.474 0.026
0.125 0.125 0.125
0.125 0.625 0.125
0.125 0.125 0.625
0.625 0.125 0.125
```

Symmetry   Fd-3m, No. 227
Calculated volume   380.18 Å³/cell
Energy relative to the elements   0.187 eV per atom